# Sr2MoPbO6, optimized geometry, DFT PBE with a Hubbard U
data_Sr2MoPbO6
_chemical_formula_sum 'Sr2 Mo1 Pb1 O6'
_space_group_name_H-M_alt 'P 4 m m'
_space_group_IT_number 99
_cell_length_a 5.827
_cell_length_b 5.827
_cell_length_c 5.335
_cell_angle_alpha 90.00
_cell_angle_beta 90.00
_cell_angle_gamma 90.00
loop_
_space_group_symop_operation_xyz
'x,y,z'
'-y,x,z'
'-x,-y,z'
'y,-x,z'
'-x,y,z'
'y,x,z'
'x,-y,z'
'-y,-x,z'
loop_
_atom_site_label
_atom_site_type_symbol
_atom_site_fract_x
_atom_site_fract_y
_atom_site_fract_z
_atom_site_occupancy
Sr1 Sr 0.000 0.500 0.000 1
Mo1 Mo 0.000 0.000 0.618 1
Pb1 Pb 0.500 0.500 0.556 1
O1 O 0.000 0.000 0.277 1
O2 O 0.219 0.219 0.732 1
O3 O 0.500 0.500 0.143 1
# Magnetization ... 0.000 μB per atom
# Final energy ... -6.410 eV/atom